No. 1
# RbNbS2 PBE relaxed
data_RbNbS2
_chemical_formula_sum 'Rb1 Nb1 S2'
_space_group_name_H-M_alt 'P 1'
_space_group_IT_number 1
_space_group_name_Hall 'P 1'
_cell_length_a 4.8677
_cell_length_b 4.8677
_cell_length_c 4.8677
_cell_angle_alpha 60.00
_cell_angle_beta 60.00
_cell_angle_gamma 60.00
loop_
_atom_site_label
_atom_site_fract_x
_atom_site_fract_y
_atom_site_fract_z
Nb1 0.5000 0.5000 0.5000
S1 0.2500 0.2500 0.2500
S2 0.7500 0.7500 0.7500
Rb1 0.0000 0.0000 0.0000
# M_tot in Bohr magnetons per cell: 2.00
# Total energy in eV per atom: -4.97
# ρ in g cm⁻³: 4.94
# SG: Fm-3m, No. 225
# N(E_F) in states/eV/cell: 0.000

No. 2
# TbSmRu PBE relaxed
data_TbSmRu
_chemical_formula_sum 'Tb1 Sm1 Ru1'
_space_group_name_H-M_alt 'P 1'
_space_group_IT_number 1
_space_group_name_Hall 'P 1'
_cell_length_a 4.8311
_cell_length_b 4.8311
_cell_length_c 4.8311
_cell_angle_alpha 60.00
_cell_angle_beta 60.00
_cell_angle_gamma 60.00
loop_
_atom_site_label
_atom_site_fract_x
_atom_site_fract_y
_atom_site_fract_z
Ru1 0.2500 0.2500 0.2500
Tb1 0.0000 0.0000 0.0000
Sm1 0.5000 0.5000 0.5000
# M_tot in Bohr magnetons per cell: 0.00
# Offset from the most stable computed form in meV per atom: 37.4
# ΔH_f (0 K) in eV/atom: -0.23
# ρ in g cm⁻³: 8.55
# SG: F-43m, No. 216
# N(E_F) in states/eV/cell: 2.014

No. 3
# TbDy3Ho2Tm6 PBE relaxed
data_TbDy3Ho2Tm6
_chemical_formula_sum 'Tb1 Dy3 Ho2 Tm6'
_space_group_name_H-M_alt 'P 1'
_space_group_IT_number 1
_space_group_name_Hall 'P 1'
_cell_length_a 6.0721
_cell_length_b 6.0721
_cell_length_c 11.6024
_cell_angle_alpha 95.00
_cell_angle_beta 95.00
_cell_angle_gamma 119.94
loop_
_atom_site_label
_atom_site_fract_x
_atom_site_fract_y
_atom_site_fract_z
Tb1 0.0000 0.0000 0.0000
Dy1 0.1667 0.8333 0.5000
Dy2 0.8333 0.1667 0.5000
Dy3 0.5000 0.5000 0.5000
Ho1 0.3333 0.6667 0.0000
Ho2 0.6667 0.3333 0.0000
Tm1 0.9165 0.5830 0.7501
Tm2 0.7500 0.7500 0.2498
Tm3 0.0835 0.4170 0.2499
Tm4 0.5830 0.9165 0.7501
Tm5 0.2500 0.2500 0.7502
Tm6 0.4170 0.0835 0.2499
# M_tot in Bohr magnetons per cell: 0.00
# ΔH_f (0 K) in eV/atom: 0.02
# ρ in g cm⁻³: 9.05
# SG: C2/m, No. 12
# N(E_F) in states/eV/cell: 16.384

No. 4
# K2CoIrRu PBE relaxed
data_K2CoIrRu
_chemical_formula_sum 'K2 Co1 Ir1 Ru1'
_space_group_name_H-M_alt 'P 1'
_space_group_IT_number 1
_space_group_name_Hall 'P 1'
_cell_length_a 6.2279
_cell_length_b 4.6055
_cell_length_c 6.2279
_cell_angle_alpha 90.00
_cell_angle_beta 90.00
_cell_angle_gamma 90.00
loop_
_atom_site_label
_atom_site_fract_x
_atom_site_fract_y
_atom_site_fract_z
Ru1 0.0000 0.5000 0.0000
K1 0.0000 0.0000 0.5000
K2 0.5000 0.0000 0.0000
Ir1 0.0000 0.0000 0.0000
Co1 0.5000 0.5000 0.5000
# M_tot in Bohr magnetons per cell: 3.56
# ΔH_f (0 K) in eV/atom: 1.62
# ρ in g cm⁻³: 4.00
# SG: P4/mmm, No. 123
# N(E_F) in states/eV/cell: 13.235